(i)
! Pu4Mn | Alexandria | PBE-GGA | optimized geometry; values from VASP
! - Space group: Fd-3m (227)
! - DOS(E_F): 30.731 states/eV per cell
&SYSTEM
  ibrav = 0, nat = 10, ntyp = 2
/
ATOMIC_SPECIES
Pu 244.00 Pu.upf
Mn 54.94 Mn.upf
CELL_PARAMETERS angstrom
0.000 4.558 4.558
4.558 0.000 4.558
4.558 4.558 0.000
ATOMIC_POSITIONS crystal
Pu 0.847 0.847 0.847
Pu 0.847 0.458 0.847
Pu 0.847 0.847 0.458
Pu 0.403 0.792 0.403
Pu 0.403 0.403 0.403
Pu 0.458 0.847 0.847
Pu 0.403 0.403 0.792
Pu 0.792 0.403 0.403
Mn 0.250 0.250 0.250
Mn 0.000 0.000 0.000

(ii)
! Pu4Mn | Alexandria | PBE-GGA | optimized geometry; values from VASP
! - Space group: Pm-3m (221)
! - DOS(E_F): 25.138 states/eV per cell
&SYSTEM
  ibrav = 0, nat = 5, ntyp = 2
/
ATOMIC_SPECIES
Mn 54.94 Mn.upf
Pu 244.00 Pu.upf
CELL_PARAMETERS angstrom
5.069 0.000 0.000
0.000 5.069 0.000
0.000 0.000 5.069
ATOMIC_POSITIONS crystal
Mn 0.500 0.500 0.500
Pu 0.000 0.000 0.000
Pu 0.500 0.000 0.500
Pu 0.000 0.500 0.500
Pu 0.500 0.500 0.000

Energy comparison, zero being the most stable, in meV/atom: (i) 753; (ii) 0.

(i)
! Pu2MnRh3 | Alexandria | PBE-GGA | optimized geometry; values from VASP
! - Space group: Imma (74)
! - DOS(E_F): 29.750 states/eV per cell
&SYSTEM
  ibrav = 0, nat = 12, ntyp = 3
/
ATOMIC_SPECIES
Pu 244.00 Pu.upf
Mn 54.94 Mn.upf
Rh 102.91 Rh.upf
CELL_PARAMETERS angstrom
-0.595 -2.472 -2.872
6.028 -3.074 3.956
-2.728 -3.726 6.333
ATOMIC_POSITIONS crystal
Pu 0.581 0.196 0.465
Pu 0.081 0.465 0.196
Pu 0.919 0.535 0.804
Pu 0.419 0.804 0.535
Mn 0.750 0.113 0.887
Mn 0.250 0.887 0.113
Rh 0.250 0.366 0.634
Rh 0.750 0.634 0.366
Rh 0.103 0.968 0.737
Rh 0.397 0.263 0.032
Rh 0.603 0.737 0.968
Rh 0.897 0.032 0.263

(ii)
! Pu2MnRh3 | Alexandria | PBE-GGA | optimized geometry; values from VASP
! - Space group: R-3m (166)
! - DOS(E_F): 18.888 states/eV per cell
&SYSTEM
  ibrav = 0, nat = 6, ntyp = 3
/
ATOMIC_SPECIES
Pu 244.00 Pu.upf
Mn 54.94 Mn.upf
Rh 102.91 Rh.upf
CELL_PARAMETERS angstrom
-5.361 -0.093 -1.360
3.856 0.182 -3.961
2.383 -4.010 2.134
ATOMIC_POSITIONS crystal
Pu 0.755 0.378 0.133
Pu 0.245 0.622 0.867
Mn 0.000 0.000 0.000
Rh 0.500 0.500 0.500
Rh 0.000 0.000 0.500
Rh 0.500 0.000 0.500

Energy comparison, zero being the most stable, in meV/atom: (i) 157; (ii) 0.

(i)
! PuMnRu | Alexandria | PBE-GGA | optimized geometry; values from VASP
! - Space group: P3m1 (156)
! - DOS(E_F): 3.359 states/eV per cell
&SYSTEM
  ibrav = 0, nat = 3, ntyp = 3
/
ATOMIC_SPECIES
Ru 101.07 Ru.upf
Mn 54.94 Mn.upf
Pu 244.00 Pu.upf
CELL_PARAMETERS angstrom
-2.588 0.664 1.075
-1.275 -4.220 -0.462
1.909 1.338 3.770
ATOMIC_POSITIONS crystal
Ru 0.390 0.000 0.000
Mn 0.936 0.667 0.333
Pu 0.674 0.333 0.667

(ii)
! PuMnRu | Alexandria | PBE-GGA | optimized geometry; values from VASP
! - Space group: Imma (74)
! - DOS(E_F): 13.811 states/eV per cell
&SYSTEM
  ibrav = 0, nat = 6, ntyp = 3
/
ATOMIC_SPECIES
Pu 244.00 Pu.upf
Mn 54.94 Mn.upf
Ru 101.07 Ru.upf
CELL_PARAMETERS angstrom
0.429 -4.006 -3.204
1.044 -1.024 4.936
-4.769 1.841 0.607
ATOMIC_POSITIONS crystal
Pu 0.250 0.129 0.379
Pu 0.750 0.871 0.621
Mn 0.500 0.000 0.000
Mn 0.000 0.500 0.000
Ru 0.000 0.500 0.500
Ru 0.500 0.500 0.000

(iii)
! PuMnRu | Alexandria | PBE-GGA | optimized geometry; values from VASP
! - Space group: I4mm (107)
! - DOS(E_F): 7.309 states/eV per cell
&SYSTEM
  ibrav = 0, nat = 3, ntyp = 3
/
ATOMIC_SPECIES
Ru 101.07 Ru.upf
Mn 54.94 Mn.upf
Pu 244.00 Pu.upf
CELL_PARAMETERS angstrom
3.649 0.000 0.000
0.000 3.649 0.000
-1.825 -1.825 3.843
ATOMIC_POSITIONS crystal
Ru 0.262 0.262 0.524
Mn 0.647 0.647 0.293
Pu 0.941 0.941 0.883

Energy comparison, zero being the most stable, in meV/atom: (i) 178; (ii) 0; (iii) 210.

(i)
! PuUMnRu | Alexandria | PBE-GGA | optimized geometry; values from VASP
! - Space group: F-43m (216)
! - DOS(E_F): 7.040 states/eV per cell
&SYSTEM
  ibrav = 0, nat = 4, ntyp = 4
/
ATOMIC_SPECIES
Ru 101.07 Ru.upf
Mn 54.94 Mn.upf
U 238.03 U.upf
Pu 244.00 Pu.upf
CELL_PARAMETERS angstrom
-0.589 -0.201 4.511
0.760 -3.901 2.224
3.607 -0.386 2.752
ATOMIC_POSITIONS crystal
Ru 0.000 0.000 0.000
Mn 0.250 0.250 0.250
U 0.750 0.750 0.750
Pu 0.500 0.500 0.500

(ii)
! PuUMnRu | Alexandria | PBE-GGA | optimized geometry; values from VASP
! - Space group: F-43m (216)
! - DOS(E_F): 6.018 states/eV per cell
&SYSTEM
  ibrav = 0, nat = 4, ntyp = 4
/
ATOMIC_SPECIES
Pu 244.00 Pu.upf
U 238.03 U.upf
Mn 54.94 Mn.upf
Ru 101.07 Ru.upf
CELL_PARAMETERS angstrom
4.559 0.000 0.000
2.280 3.948 0.000
2.280 1.316 3.723
ATOMIC_POSITIONS crystal
Pu 0.250 0.250 0.250
U 0.500 0.500 0.500
Mn 0.750 0.750 0.750
Ru 0.000 0.000 0.000

Energy comparison, zero being the most stable, in meV/atom: (i) 94; (ii) 0.